Below is a relaxed structure of YCdSe2O, with properties calculated at the GGA-PBE level.

The structure in POSCAR format:
```
YCdSe2O
1.0
5.194 0.000 0.000
0.000 4.129 0.000
0.000 0.000 5.194
O Cd Se Y
1 1 2 1
direct
0.000 0.500 0.000
0.000 0.000 0.000
0.000 0.000 0.500
0.500 0.000 0.000
0.500 0.500 0.500
```

Values from the calculation:
- space-group type = No. 123
- Fermi-level density of states (states/eV per cell) = 2.36
- raw formation energy (eV per atom) = -0.621



Below is a relaxed structure of LaZr4Rh, with properties calculated at the GGA-PBE level.

The structure in POSCAR format:
```
LaZr4Rh
1.0
-5.604 -0.243 1.607
-3.157 4.896 0.325
-4.205 1.025 -3.913
Rh Zr La
1 4 1
direct
0.000 0.000 0.000
0.375 0.375 0.876
0.876 0.375 0.375
0.375 0.375 0.375
0.375 0.876 0.375
0.750 0.750 0.750
```

Values from the calculation:
- space-group type = No. 216
- Fermi-level density of states (states/eV per cell) = 6.39
- E_form (meV per atom) = 314.4



Below is a relaxed structure of LiHgMo2, with properties calculated at the GGA-PBE level.

The structure in POSCAR format:
```
LiHgMo2
1.0
-2.663 1.505 -3.524
-2.902 -1.821 1.416
-0.919 2.999 1.975
Mo Hg Li
2 1 1
direct
0.000 0.000 0.000
0.000 0.500 0.500
0.500 0.500 0.000
0.500 0.000 0.500
```

Values from the calculation:
- space-group type = No. 123
- Fermi-level density of states (states/eV per cell) = 0.93
- E_form (meV per atom) = 275.6



Below is a relaxed structure of Zr2BeSi, with properties calculated at the GGA-PBE level.

The structure in POSCAR format:
```
Zr2BeSi
1.0
-1.626 0.444 3.317
-3.220 -1.712 0.736
1.499 -5.344 3.540
Zr Be Si
2 1 1
direct
0.500 0.500 0.499
0.000 0.000 0.001
0.750 0.750 0.750
0.250 0.250 0.250
```

Values from the calculation:
- space-group type = No. 166
- Fermi-level density of states (states/eV per cell) = 1.81
- energy above the lowest structure with this stoichiometry (meV per atom) = 426.4
- raw formation energy (eV per atom) = -0.221



Below is a relaxed structure of LaTbCu, with properties calculated at the GGA-PBE level.

The structure in POSCAR format:
```
LaTbCu
1.0
4.558 0.000 0.000
0.000 3.620 -0.007
0.000 -0.015 9.715
La Tb Cu
2 2 2
direct
0.250 0.503 0.396
0.750 0.497 0.604
0.750 0.001 0.155
0.250 0.999 0.845
0.750 0.499 0.924
0.250 0.501 0.076
```

Values from the calculation:
- space-group type = No. 11
- Fermi-level density of states (states/eV per cell) = 6.68
- E_form (meV per atom) = -59.0
- energy above the lowest structure with this stoichiometry (meV per atom) = 36.9



Below is a relaxed structure of SrFeMo2, with properties calculated at the GGA-PBE level.

The structure in POSCAR format:
```
SrFeMo2
1.0
-8.569 -1.966 4.641
-6.812 -3.678 6.236
-7.098 -0.844 6.909
Sr Fe Mo
1 1 2
direct
0.250 0.250 0.250
0.750 0.750 0.750
0.484 0.484 0.484
0.016 0.016 0.016
```

Values from the calculation:
- space-group type = No. 166
- Fermi-level density of states (states/eV per cell) = 4.88
- E_form (meV per atom) = 991.2
- energy above the lowest structure with this stoichiometry (meV per atom) = 381.4



Below is a relaxed structure of Tb3Sm, with properties calculated at the GGA-PBE level.

The structure in POSCAR format:
```
Tb3Sm
1.0
3.648 0.000 0.000
0.000 5.710 0.000
0.000 0.000 6.312
Tb Sm
3 1
direct
0.500 0.500 0.833
0.000 0.500 0.334
0.500 0.000 0.500
0.000 0.000 0.999
```

Values from the calculation:
- space-group type = No. 25
- Fermi-level density of states (states/eV per cell) = 6.92
- E_form (meV per atom) = 19.2
- energy above the lowest structure with this stoichiometry (meV per atom) = 5.8



Below is a relaxed structure of ZrPb, with properties calculated at the GGA-PBE level.

The structure in POSCAR format:
```
ZrPb
1.0
5.985 0.100 0.092
5.055 3.206 0.092
1.043 0.312 5.233
Zr Pb
2 2
direct
0.257 0.257 0.172
0.493 0.493 0.578
0.751 0.751 0.672
0.999 0.999 0.078
```

Values from the calculation:
- space-group type = No. 12
- Fermi-level density of states (states/eV per cell) = 1.88
- E_form (meV per atom) = -104.8



Below is a relaxed structure of Ho2Ga7Au12, with properties calculated at the GGA-PBE level.

The structure in POSCAR format:
```
Ho2Ga7Au12
1.0
4.045 0.000 0.000
0.000 9.286 -5.361
0.000 0.000 10.722
Au Ga Ho
12 7 2
direct
0.762 0.366 0.909
0.238 0.634 0.091
0.227 0.742 0.869
0.762 0.091 0.457
0.238 0.457 0.366
0.773 0.872 0.742
0.227 0.131 0.872
0.762 0.543 0.634
0.227 0.128 0.258
0.773 0.258 0.131
0.773 0.869 0.128
0.238 0.909 0.543
0.500 0.000 0.000
0.270 0.403 0.101
0.270 0.698 0.597
0.730 0.302 0.403
0.270 0.899 0.302
0.730 0.597 0.899
0.730 0.101 0.698
0.246 0.333 0.667
0.754 0.667 0.333
```

Values from the calculation:
- space-group type = No. 147
- Fermi-level density of states (states/eV per cell) = 5.57
- E_form (meV per atom) = -350.7



Below is a relaxed structure of AlAgGe, with properties calculated at the GGA-PBE level.

The structure in POSCAR format:
```
AlAgGe
1.0
3.022 -0.022 0.018
0.013 5.783 -0.060
1.501 2.812 6.165
Ag Ge Al
2 2 2
direct
0.363 0.785 0.812
0.030 0.225 0.479
0.724 0.928 0.101
0.035 0.724 0.476
0.712 0.394 0.115
0.379 0.313 0.782
```

Values from the calculation:
- space-group type = No. 1
- Fermi-level density of states (states/eV per cell) = 1.66
- E_form (meV per atom) = 98.0



Below is a relaxed structure of La9HoTm2, with properties calculated at the GGA-PBE level.

The structure in POSCAR format:
```
La9HoTm2
1.0
5.189 0.000 0.000
0.000 5.189 0.000
0.000 0.000 15.566
La Tm Ho
9 2 1
direct
0.500 0.000 0.833
0.500 0.000 0.167
0.500 0.500 0.333
0.000 0.500 0.500
0.500 0.500 0.000
0.500 0.000 0.500
0.500 0.500 0.667
0.000 0.500 0.833
0.000 0.500 0.167
0.000 0.000 0.666
0.000 0.000 0.334
0.000 0.000 0.000
```

Values from the calculation:
- space-group type = No. 123
- Fermi-level density of states (states/eV per cell) = 14.32
- E_form (meV per atom) = 6.7



Below is a relaxed structure of DyY3Tm12, with properties calculated at the GGA-PBE level.

The structure in POSCAR format:
```
DyY3Tm12
1.0
4.958 0.000 0.000
0.000 4.958 0.000
0.000 0.000 19.842
Tm Y Dy
12 3 1
direct
0.000 0.500 0.375
0.500 0.500 0.500
0.500 0.000 0.876
0.500 0.000 0.124
0.500 0.500 0.750
0.500 0.000 0.625
0.000 0.500 0.625
0.000 0.500 0.124
0.500 0.500 0.250
0.500 0.000 0.375
0.500 0.500 0.000
0.000 0.500 0.876
0.000 0.000 0.750
0.000 0.000 0.250
0.000 0.000 0.500
0.000 0.000 0.000
```

Values from the calculation:
- space-group type = No. 123
- Fermi-level density of states (states/eV per cell) = 22.41
- E_form (meV per atom) = 27.8



Below is a relaxed structure of ScZn2Co, with properties calculated at the GGA-PBE level.

The structure in POSCAR format:
```
ScZn2Co
1.0
-1.989 3.839 0.594
-0.650 0.103 -2.838
-4.398 -2.211 -0.442
Co Zn Sc
1 2 1
direct
0.500 0.250 0.250
0.000 0.101 0.028
0.000 0.399 0.472
0.500 0.750 0.750
```

Values from the calculation:
- space-group type = No. 10
- Fermi-level density of states (states/eV per cell) = 2.46
- E_form (meV per atom) = -134.7



Below is a relaxed structure of MgTlCd2Pd, with properties calculated at the GGA-PBE level.

The structure in POSCAR format:
```
MgTlCd2Pd
1.0
-4.545 -1.543 2.108
0.211 -4.434 -2.790
2.485 -2.227 3.728
Mg Cd Tl Pd
1 2 1 1
direct
0.000 0.000 0.500
0.500 0.000 0.000
0.000 0.500 0.000
0.500 0.500 0.500
0.000 0.000 0.000
```

Values from the calculation:
- space-group type = No. 123
- Fermi-level density of states (states/eV per cell) = 2.55
- E_form (meV per atom) = -69.5



Below is a relaxed structure of NaTaOs2, with properties calculated at the GGA-PBE level.

The structure in POSCAR format:
```
NaTaOs2
1.0
-3.583 -0.414 2.649
-3.819 2.079 -1.060
-3.535 -2.376 -1.373
Ta Na Os
1 1 2
direct
0.500 0.500 0.500
0.000 0.000 0.000
0.250 0.250 0.250
0.750 0.750 0.750
```

Values from the calculation:
- space-group type = No. 225
- Fermi-level density of states (states/eV per cell) = 4.23
- E_form (meV per atom) = 487.5
- energy above the lowest structure with this stoichiometry (meV per atom) = 0.0



Below is a relaxed structure of BSCl2, with properties calculated at the GGA-PBE level.

The structure in POSCAR format:
```
BSCl2
1.0
7.427 5.323 -0.359
8.791 2.427 -0.679
7.588 3.931 -3.255
Cl S B
2 1 1
direct
0.062 0.062 0.062
0.938 0.938 0.938
0.500 0.500 0.500
0.000 0.000 0.000
```

Values from the calculation:
- space-group type = No. 166
- Fermi-level density of states (states/eV per cell) = 2.46
- energy above the lowest structure with this stoichiometry (meV per atom) = 0.0
- raw formation energy (eV per atom) = 0.497



Below is a relaxed structure of Na3TiPd3O8, with properties calculated at the GGA-PBE level.

The structure in POSCAR format:
```
Na3TiPd3O8
1.0
5.976 0.000 0.000
-2.988 6.063 0.309
0.000 -3.697 5.216
O Ti Na Pd
8 1 3 3
direct
0.700 0.400 0.653
0.213 0.950 0.270
0.263 0.050 0.730
0.300 0.600 0.347
0.737 0.950 0.270
0.200 0.401 0.653
0.800 0.599 0.347
0.787 0.050 0.730
0.000 0.000 0.500
0.000 0.500 0.000
0.000 0.000 0.000
0.500 0.500 0.000
0.500 0.500 0.500
0.500 0.000 0.500
0.000 0.500 0.500
```

Values from the calculation:
- space-group type = No. 12
- Fermi-level density of states (states/eV per cell) = 8.55
- raw formation energy (eV per atom) = -1.264



Below is a relaxed structure of LaTb5NdEr2, with properties calculated at the GGA-PBE level.

The structure in POSCAR format:
```
LaTb5NdEr2
1.0
8.720 0.000 0.000
0.000 8.720 0.000
-4.360 -4.360 7.854
Er La Tb Nd
4 2 10 2
direct
0.119 0.381 0.000
0.619 0.119 0.000
0.881 0.619 0.000
0.381 0.881 0.000
0.750 0.750 0.500
0.250 0.250 0.500
0.830 0.933 0.264
0.000 0.000 0.000
0.933 0.433 0.264
0.500 0.500 0.000
0.170 0.067 0.736
0.433 0.330 0.264
0.330 0.830 0.264
0.670 0.170 0.736
0.567 0.670 0.736
0.067 0.567 0.736
0.250 0.750 0.500
0.750 0.250 0.500
```

Values from the calculation:
- space-group type = No. 140
- Fermi-level density of states (states/eV per cell) = 24.23
- E_form (meV per atom) = 278.7



Below is a relaxed structure of Al2AgSb, with properties calculated at the GGA-PBE level.

The structure in POSCAR format:
```
Al2AgSb
1.0
3.089 0.000 0.000
0.000 3.298 0.000
0.000 0.000 7.823
Al Ag Sb
2 1 1
direct
0.000 0.000 0.532
0.000 0.000 0.968
0.500 0.500 0.750
0.500 0.500 0.250
```

Values from the calculation:
- space-group type = No. 47
- Fermi-level density of states (states/eV per cell) = 1.77
- raw formation energy (eV per atom) = 0.156



Below is a relaxed structure of TlZnCr2, with properties calculated at the GGA-PBE level.

The structure in POSCAR format:
```
TlZnCr2
1.0
3.099 0.000 0.000
0.000 3.099 0.000
0.000 0.000 7.033
Cr Tl Zn
2 1 1
direct
0.500 0.500 0.188
0.000 0.000 0.024
0.000 0.000 0.486
0.500 0.500 0.802
```

Values from the calculation:
- space-group type = No. 99
- Fermi-level density of states (states/eV per cell) = 1.83
- E_form (meV per atom) = 354.5



Below is a relaxed structure of LiCaTl2, with properties calculated at the GGA-PBE level.

The structure in POSCAR format:
```
LiCaTl2
1.0
-0.625 -9.152 -1.842
2.999 -8.507 -2.488
1.804 -9.127 0.998
Tl Ca Li
2 1 1
direct
0.010 0.010 0.010
0.490 0.490 0.490
0.250 0.250 0.250
0.750 0.750 0.750
```

Values from the calculation:
- space-group type = No. 166
- Fermi-level density of states (states/eV per cell) = 1.26
- E_form (meV per atom) = -184.5



Below is a relaxed structure of CsSiBr3, with properties calculated at the GGA-PBE level.

The structure in POSCAR format:
```
CsSiBr3
1.0
6.396 -0.739 4.602
-1.790 6.547 3.555
0.380 -0.714 9.821
Br Si Cs
6 2 2
direct
0.216 0.442 0.848
0.218 0.970 0.849
0.379 0.538 0.182
0.885 0.556 0.615
0.887 0.084 0.616
0.724 0.988 0.281
0.118 0.351 0.555
0.985 0.175 0.908
0.352 0.062 0.134
0.751 0.463 0.330
```

Values from the calculation:
- space-group type = No. 2
- Fermi-level density of states (states/eV per cell) = 0.00
- raw formation energy (eV per atom) = -1.018



Below is a relaxed structure of Dy12Pd6Rh, with properties calculated at the GGA-PBE level.

The structure in POSCAR format:
```
Dy12Pd6Rh
1.0
-6.945 -3.296 -2.885
5.360 -3.706 -4.995
0.986 -4.694 6.664
Dy Pd Rh
12 6 1
direct
0.583 0.426 0.819
0.080 0.958 0.321
0.819 0.583 0.426
0.417 0.574 0.181
0.042 0.679 0.920
0.321 0.080 0.958
0.426 0.819 0.583
0.574 0.181 0.417
0.958 0.321 0.080
0.679 0.920 0.042
0.920 0.042 0.679
0.181 0.417 0.574
0.379 0.688 0.869
0.869 0.379 0.688
0.312 0.131 0.621
0.621 0.312 0.131
0.688 0.869 0.379
0.131 0.621 0.312
0.000 0.000 0.000
```

Values from the calculation:
- space-group type = No. 148
- Fermi-level density of states (states/eV per cell) = 17.99
- E_form (meV per atom) = -561.0



Below is a relaxed structure of SrAlSe2, with properties calculated at the GGA-PBE level.

The structure in POSCAR format:
```
SrAlSe2
1.0
-6.576 -0.200 3.116
-6.780 -1.440 -2.227
7.050 -1.782 0.344
Al Se Sr
1 2 1
direct
0.212 0.712 0.500
0.060 0.060 0.000
0.775 0.275 0.500
0.453 0.453 0.000
```

Values from the calculation:
- space-group type = No. 44
- Fermi-level density of states (states/eV per cell) = 0.56
- raw formation energy (eV per atom) = -0.996



Below is a relaxed structure of V3CrSn, with properties calculated at the GGA-PBE level.

The structure in POSCAR format:
```
V3CrSn
1.0
4.371 0.000 0.000
0.000 4.371 0.000
0.000 0.000 4.371
V Cr Sn
3 1 1
direct
0.000 0.000 0.500
0.500 0.000 0.000
0.000 0.500 0.000
0.000 0.000 0.000
0.500 0.500 0.500
```

Values from the calculation:
- space-group type = No. 221
- Fermi-level density of states (states/eV per cell) = 3.77
- E_form (meV per atom) = 652.5
- energy above the lowest structure with this stoichiometry (meV per atom) = 0.0



For each record above, in turn, the calculated total magnetic moment values are 0.00, 0.00, 0.00, 0.00, 0.00, 1.94, 0.00, 0.00, 0.00, 0.00, 0.00, 0.00, 0.00, 0.00, 0.00, 0.00, 0.84, 0.02, 0.00, 0.04, 0.00, 0.00, 0.00, 0.00, 0.00 Bohr magnetons per cell.